Entry 1:
Material: MgAsSe2S
Method: DFT, SCAN
State: PBEsol geometry

Properties
magnetic moment	0.001	μB/atom
energy	-0.524	hartree per atom
space-group type	No. 123
E_form (uncorrected)	730	meV/atom

Structure (POSCAR):
```
MgAsSe2S
1.0
-1.9683 4.3341 0.6215
-4.3516 -2.0118 0.2485
0.5100 -0.4854 5.0004
Se As S Mg
2 1 1 1
Direct
0.5000 0.0000 0.0000
0.0000 0.5000 0.0000
0.0000 0.0000 0.5000
0.5000 0.5000 0.5000
0.0000 0.0000 0.0000
```

---

Entry 2:
Material: BaTl2In
Method: DFT, SCAN
State: PBEsol geometry

Properties
magnetic moment	0.000	μB/atom
energy	-2.012	hartree per atom
space-group type	No. 123

Structure (POSCAR):
```
BaTl2In
1.0
3.9451 0.0000 0.0000
0.0000 3.9451 0.0000
0.0000 0.0000 7.8071
Tl In Ba
2 1 1
Direct
0.0000 0.0000 0.7066
0.0000 0.0000 0.2934
0.5000 0.5000 0.5000
0.5000 0.5000 0.0000
```

---

Entry 3:
Material: TmLuRu2
Method: DFT, SCAN
State: PBEsol geometry

Properties
magnetic moment	0.000	μB/atom
energy	-1.645	hartree per atom
space-group type	No. 225

Structure (POSCAR):
```
TmLuRu2
1.0
-4.5888 -0.1384 -0.7321
-2.6618 -2.9010 2.4721
-2.9170 1.6827 3.2050
Ru Tm Lu
2 1 1
Direct
0.7500 0.7500 0.7500
0.2500 0.2500 0.2500
0.5000 0.5000 0.5000
0.0000 0.0000 0.0000
```

---

Entry 4:
Material: DyMg2Ti3S8
Method: DFT, SCAN
State: PBEsol geometry

Properties
magnetic moment	0.000	μB/atom
energy	-0.541	hartree per atom
space-group type	No. 166
E_form (uncorrected)	-1661	meV/atom

Structure (POSCAR):
```
DyMg2Ti3S8
1.0
-3.2388 -3.5653 -5.2853
-4.4938 -5.3494 1.5248
-7.3727 1.1095 -1.0680
S Mg Ti Dy
8 2 3 1
Direct
0.2449 0.2449 0.7817
0.7399 0.7399 0.7803
0.7286 0.2449 0.7817
0.2714 0.7551 0.2183
0.2449 0.7286 0.7817
0.7551 0.2714 0.2183
0.2601 0.2601 0.2197
0.7551 0.7551 0.2183
0.1317 0.1317 0.6050
0.8683 0.8683 0.3950
0.5000 0.5000 0.0000
0.5000 0.0000 0.0000
0.0000 0.5000 0.0000
0.5000 0.5000 0.5000
```

---

- Look up the energy of the third one.
  -1.645 hartree per atom

---

- Which formula does entry 3 have?
  TmLuRu2

---

Repeat the first record exactly.
Material: MgAsSe2S
Method: DFT, SCAN
State: PBEsol geometry

Properties
magnetic moment	0.001	μB/atom
energy	-0.524	hartree per atom
space-group type	No. 123
E_form (uncorrected)	730	meV/atom

Structure (POSCAR):
```
MgAsSe2S
1.0
-1.9683 4.3341 0.6215
-4.3516 -2.0118 0.2485
0.5100 -0.4854 5.0004
Se As S Mg
2 1 1 1
Direct
0.5000 0.0000 0.0000
0.0000 0.5000 0.0000
0.0000 0.0000 0.5000
0.5000 0.5000 0.5000
0.0000 0.0000 0.0000
```